! LaTmNp (GGA-PBE, optimized geometry); values from VASP
&SYSTEM
  ibrav = 0, nat = 12, ntyp = 3
/
ATOMIC_SPECIES
La 138.91 La.upf
Tm 168.93 Tm.upf
Np 237.00 Np.upf
CELL_PARAMETERS angstrom
7.2414 0.0000 0.0000
0.0000 7.2414 0.0000
0.0000 0.0000 7.2414
ATOMIC_POSITIONS crystal
La 0.0000 0.0000 0.0000
La 0.0000 0.5000 0.5000
La 0.5000 0.0000 0.5000
La 0.5000 0.5000 0.0000
Tm 0.2500 0.2500 0.2500
Tm 0.2500 0.7500 0.7500
Tm 0.7500 0.2500 0.7500
Tm 0.7500 0.7500 0.2500
Np 0.2500 0.2500 0.7500
Np 0.2500 0.7500 0.2500
Np 0.7500 0.2500 0.2500
Np 0.7500 0.7500 0.7500
! **Theoretical density**: 9531 kg/m3
! **ΔE to the lowest computed polymorph**: 0 meV per atom
! **Space group**: F-43m
! **VASP energy**: -6.334 eV/atom